First-principles (PBE-GGA) data for an optimized crystal structure of CsAsBr4, as listed in Alexandria.

Properties
N(E_F), states/eV/f.u.: 0.0
Crystal system: triclinic
Formation energy from raw total energies, eV per atom: -0.92
Size of the total moment, μB per formula unit: 0.0
DFT total energy, eV/cell: -35.46
Excess energy over the best structure of this formula in the dataset, eV per atom: 0.000

a b c (Å): 10.263 8.219 7.801
angles (deg): 121.64 107.17 66.40
Fractional coordinates of all 12 atoms:
As  0.321  0.167  0.659
As  0.679  0.833  0.341
Cs  0.178  0.584  0.347
Cs  0.822  0.416  0.653
Br  0.159  0.093  0.351
Br  0.194  0.541  0.834
Br  0.499  0.239  0.500
Br  0.806  0.459  0.166
Br  0.803  0.907  0.164
Br  0.501  0.761  0.500
Br  0.841  0.907  0.649
Br  0.197  0.093  0.836

=====

First-principles (PBE-GGA) data for an optimized crystal structure of Re2SbIr, as listed in Alexandria.

Properties
N(E_F), states/eV/f.u.: 3.5
Crystal system: monoclinic
Formation energy from raw total energies, eV per atom: 0.38
Size of the total moment, μB per formula unit: 0.0
DFT total energy, eV/cell: -36.36

a b c (Å): 4.886 4.886 4.815
angles (deg): 82.62 82.62 34.84
Fractional coordinates of all 4 atoms:
Ir  0.261  0.261  0.242
Re  0.002  0.002  0.987
Re  0.738  0.738  0.779
Sb  0.499  0.499  0.492

=====

First-principles (PBE-GGA) data for an optimized crystal structure of Be2HgF6, as listed in Alexandria.

Properties
N(E_F), states/eV/f.u.: 0.0
Crystal system: monoclinic
Formation energy from raw total energies, eV per atom: -2.62
Size of the total moment, μB per formula unit: 0.0
DFT total energy, eV/cell: -85.21

a b c (Å): 5.214 7.054 7.054
angles (deg): 82.66 74.85 74.85
Fractional coordinates of all 18 atoms:
F  0.186  0.805  0.932
F  0.314  0.068  0.195
F  0.686  0.932  0.805
F  0.580  0.657  0.652
F  0.814  0.195  0.068
F  0.420  0.343  0.348
Be  0.205  0.215  0.365
F  0.322  0.433  0.902
Be  0.705  0.365  0.215
F  0.080  0.652  0.657
F  0.920  0.348  0.343
F  0.678  0.567  0.098
F  0.178  0.098  0.567
Hg  0.250  0.149  0.851
Hg  0.750  0.851  0.149
F  0.822  0.902  0.433
Be  0.795  0.785  0.635
Be  0.295  0.635  0.785

=====

First-principles (PBE-GGA) data for an optimized crystal structure of BeAgSe3, as listed in Alexandria.

Properties
N(E_F), states/eV/f.u.: 5.9
Crystal system: cubic
Formation energy from raw total energies, eV per atom: 1.08
Size of the total moment, μB per formula unit: 0.0
DFT total energy, eV/cell: -11.64
Excess energy over the best structure of this formula in the dataset, eV per atom: 0.737

a b c (Å): 5.043 5.043 5.043
angles (deg): 90.00 90.00 90.00
Fractional coordinates of all 5 atoms:
Se  0.000  0.500  0.000
Be  0.500  0.500  0.500
Se  0.500  0.000  0.000
Se  0.000  0.000  0.500
Ag  0.000  0.000  0.000

=====

First-principles (PBE-GGA) data for an optimized crystal structure of Tm4Cu3Rh, as listed in Alexandria.

Properties
N(E_F), states/eV/f.u.: 3.5
Crystal system: tetragonal
Energy of formation, eV per atom: -0.460
Size of the total moment, μB per formula unit: 0.0
DFT total energy, eV/cell: -41.21

a b c (Å): 3.393 3.393 13.781
angles (deg): 90.00 90.00 90.00
Fractional coordinates of all 8 atoms:
Tm  0.000  0.000  0.627
Cu  0.500  0.500  0.250
Tm  0.000  0.000  0.122
Rh  0.500  0.500  0.000
Cu  0.500  0.500  0.750
Cu  0.500  0.500  0.500
Tm  0.000  0.000  0.878
Tm  0.000  0.000  0.373

=====

First-principles (PBE-GGA) data for an optimized crystal structure of SrFePPt, as listed in Alexandria.

Properties
N(E_F), states/eV/f.u.: 2.3
Crystal system: tetragonal
Energy of formation, eV per atom: -0.725
Size of the total moment, μB per formula unit: 0.0
DFT total energy, eV/cell: -48.99

a b c (Å): 3.798 3.798 10.731
angles (deg): 90.00 90.00 90.00
Fractional coordinates of all 8 atoms:
P  0.750  0.750  0.895
Fe  0.750  0.250  0.000
Sr  0.250  0.250  0.733
P  0.250  0.250  0.105
Sr  0.750  0.750  0.267
Pt  0.750  0.250  0.500
Pt  0.250  0.750  0.500
Fe  0.250  0.750  0.000

=====

First-principles (PBE-GGA) data for an optimized crystal structure of Ba3Zn6Si4TeO20, as listed in Alexandria.

Properties
N(E_F), states/eV/f.u.: 0.0
Crystal system: monoclinic
Formation energy from raw total energies, eV per atom: -2.21
Size of the total moment, μB per formula unit: 0.0
DFT total energy, eV/cell: -212.65

a b c (Å): 9.978 9.978 5.209
angles (deg): 76.05 76.05 71.65
Fractional coordinates of all 34 atoms:
Ba  0.500  0.500  0.000
Zn  0.636  0.077  0.170
Si  0.781  0.520  0.343
Si  0.520  0.781  0.343
Zn  0.364  0.923  0.830
O  0.047  0.811  0.892
O  0.366  0.815  0.551
O  0.811  0.047  0.892
O  0.815  0.366  0.551
O  0.189  0.953  0.108
O  0.617  0.885  0.341
Si  0.480  0.219  0.657
Zn  0.077  0.636  0.170
O  0.634  0.185  0.449
Zn  0.156  0.844  0.500
O  0.070  0.070  0.633
O  0.777  0.506  0.038
O  0.494  0.223  0.962
Zn  0.844  0.156  0.500
Si  0.219  0.480  0.657
Zn  0.923  0.364  0.830
O  0.383  0.115  0.659
O  0.185  0.634  0.449
O  0.611  0.611  0.466
Ba  0.213  0.213  0.254
O  0.953  0.189  0.108
O  0.115  0.383  0.659
O  0.223  0.494  0.962
O  0.506  0.777  0.038
Ba  0.787  0.787  0.746
O  0.885  0.617  0.341
O  0.389  0.389  0.534
O  0.930  0.930  0.367
Te  0.000  0.000  0.000

=====

First-principles (PBE-GGA) data for an optimized crystal structure of TiV, as listed in Alexandria.

Properties
N(E_F), states/eV/f.u.: 3.5
Crystal system: monoclinic
Energy of formation, eV per atom: 0.071
Size of the total moment, μB per formula unit: 0.0
DFT total energy, eV/cell: -33.74

a b c (Å): 2.768 4.293 5.278
angles (deg): 90.00 76.99 90.00
Fractional coordinates of all 4 atoms:
Ti  0.157  0.750  0.141
V  0.417  0.250  0.391
V  0.583  0.750  0.609
Ti  0.843  0.250  0.859

=====

First-principles (PBE-GGA) data for an optimized crystal structure of YBeMo, as listed in Alexandria.

Properties
N(E_F), states/eV/f.u.: 2.4
Crystal system: trigonal
Energy of formation, eV per atom: 0.410
Size of the total moment, μB per formula unit: 0.7
DFT total energy, eV/cell: -19.79
Excess energy over the best structure of this formula in the dataset, eV per atom: 0.161

a b c (Å): 4.109 4.109 3.834
angles (deg): 90.00 90.00 120.00
Fractional coordinates of all 3 atoms:
Y  0.333  0.667  0.667
Mo  0.667  0.333  0.168
Be  0.000  0.000  0.165

=====

First-principles (PBE-GGA) data for an optimized crystal structure of NaTl2InCo, as listed in Alexandria.

Properties
N(E_F), states/eV/f.u.: 3.2
Crystal system: tetragonal
Energy of formation, eV per atom: 0.068
Size of the total moment, μB per formula unit: 0.0
DFT total energy, eV/cell: -15.56

a b c (Å): 5.098 5.098 5.005
angles (deg): 90.00 90.00 90.00
Fractional coordinates of all 5 atoms:
Tl  0.000  0.500  0.000
Na  0.500  0.500  0.500
Co  0.000  0.000  0.000
In  0.000  0.000  0.500
Tl  0.500  0.000  0.000

=====

First-principles (PBE-GGA) data for an optimized crystal structure of KRuBr2N, as listed in Alexandria.

Properties
N(E_F), states/eV/f.u.: 26.4
Crystal system: tetragonal
Formation energy from raw total energies, eV per atom: 1.24
Size of the total moment, μB per formula unit: 0.0
DFT total energy, eV/cell: -15.83

a b c (Å): 4.813 7.046 4.813
angles (deg): 90.00 90.00 90.00
Fractional coordinates of all 5 atoms:
N  0.500  0.500  0.500
Ru  0.000  0.000  0.000
Br  0.000  0.000  0.500
Br  0.500  0.000  0.000
K  0.000  0.500  0.000

=====

First-principles (PBE-GGA) data for an optimized crystal structure of Al2TlCl, as listed in Alexandria.

Properties
N(E_F), states/eV/f.u.: 1.8
Crystal system: orthorhombic
Formation energy from raw total energies, eV per atom: -0.13
Size of the total moment, μB per formula unit: 0.0
DFT total energy, eV/cell: -12.21
Excess energy over the best structure of this formula in the dataset, eV per atom: 0.004

a b c (Å): 3.249 3.249 9.988
angles (deg): 90.00 90.00 116.38
Fractional coordinates of all 4 atoms:
Tl  0.500  0.500  0.779
Al  0.500  0.500  0.252
Al  0.000  0.000  0.042
Cl  0.000  0.000  0.428